1) Computed, not measured: LiAc2Ag after structural relaxation at the PBE level of DFT.

Unit cell a=5.651 b=5.651 c=5.651 alpha=60.00 beta=60.00 gamma=60.00
Element x y z (fractional)
Li  0.000  0.000  0.000
Ac  0.250  0.250  0.250
Ac  0.750  0.750  0.750
Ag  0.500  0.500  0.500

**Total moment**: 0.000 μB per atom
**DOS(E_F)**: 3.8 states/eV/f.u.
**SG**: Fm-3m (225)

2) Computed, not measured: LiAc2Ag after structural relaxation at the PBE level of DFT.

Unit cell a=10.759 b=10.759 c=10.759 alpha=21.01 beta=21.01 gamma=21.01
Element x y z (fractional)
Li  0.000  0.000  0.000
Ac  0.577  0.577  0.577
Ac  0.758  0.758  0.758
Ag  0.168  0.168  0.168

**Total moment**: 0.000 μB per atom
**DOS(E_F)**: 4.0 states/eV/f.u.
**SG**: R3m (160)

Most favorable structure: 1). The second most favorable one is 147 meV/atom above it.

1) Computed, not measured: Li2Ac3Ag3 after structural relaxation at the PBE level of DFT.

Unit cell a=8.882 b=16.133 c=6.244 alpha=90.00 beta=90.00 gamma=90.00
Element x y z (fractional)
Li  0.101  0.093  0.116
Li  0.101  0.407  0.116
Li  0.399  0.593  0.616
Li  0.399  0.907  0.616
Li  0.601  0.093  0.384
Li  0.601  0.407  0.384
Li  0.899  0.593  0.884
Li  0.899  0.907  0.884
Ac  0.051  0.607  0.374
Ac  0.051  0.893  0.374
Ac  0.196  0.750  0.889
Ac  0.304  0.250  0.389
Ac  0.449  0.107  0.874
Ac  0.449  0.393  0.874
Ac  0.551  0.607  0.126
Ac  0.551  0.893  0.126
Ac  0.696  0.750  0.611
Ac  0.804  0.250  0.111
Ac  0.949  0.107  0.626
Ac  0.949  0.393  0.626
Ag  0.163  0.250  0.895
Ag  0.187  0.543  0.885
Ag  0.187  0.957  0.885
Ag  0.313  0.043  0.385
Ag  0.313  0.457  0.385
Ag  0.337  0.750  0.395
Ag  0.663  0.250  0.605
Ag  0.687  0.543  0.615
Ag  0.687  0.957  0.615
Ag  0.813  0.043  0.115
Ag  0.813  0.457  0.115
Ag  0.837  0.750  0.105

**Total moment**: 0.000 μB per atom
**DOS(E_F)**: 6.6 states/eV/f.u.
**SG**: Pnma (62)

2) Computed, not measured: Li2Ac3Ag3 after structural relaxation at the PBE level of DFT.

Unit cell a=11.227 b=11.227 c=11.227 alpha=160.10 beta=151.62 gamma=34.91
Element x y z (fractional)
Li  0.232  0.232  0.000
Li  0.768  0.768  0.000
Ac  0.000  0.000  0.000
Ac  0.371  0.871  0.500
Ac  0.629  0.129  0.500
Ag  0.137  0.637  0.500
Ag  0.500  0.500  0.000
Ag  0.863  0.363  0.500

**Total moment**: 0.000 μB per atom
**DOS(E_F)**: 5.5 states/eV/f.u.
**SG**: Immm (71)

Most favorable structure: 1). The second most favorable one is 34 meV/atom above it.

1) Computed, not measured: LiAcAg4 after structural relaxation at the PBE level of DFT.

Unit cell a=9.113 b=9.113 c=9.113 alpha=152.70 beta=152.70 gamma=38.99
Element x y z (fractional)
Li  0.000  0.000  0.000
Ac  0.750  0.250  0.500
Ag  0.170  0.670  0.500
Ag  0.330  0.830  0.500
Ag  0.423  0.423  0.000
Ag  0.577  0.577  0.000

**Total moment**: 0.000 μB per atom
**DOS(E_F)**: 3.4 states/eV/f.u.
**SG**: I-4m2 (119)

2) Computed, not measured: LiAcAg4 after structural relaxation at the PBE level of DFT.

Unit cell a=5.741 b=5.741 c=5.741 alpha=60.00 beta=60.00 gamma=60.00
Element x y z (fractional)
Li  0.000  0.000  0.000
Ac  0.250  0.250  0.250
Ag  0.121  0.626  0.626
Ag  0.626  0.121  0.626
Ag  0.626  0.626  0.121
Ag  0.626  0.626  0.626

**Total moment**: 0.000 μB per atom
**DOS(E_F)**: 6.7 states/eV/f.u.
**SG**: F-43m (216)

Most favorable structure: 2). The second most favorable one is 160 meV/atom above it.

1) Computed, not measured: Li5Ac2Ag4 after structural relaxation at the PBE level of DFT.

Unit cell a=7.377 b=7.377 c=8.576 alpha=122.33 beta=122.33 gamma=44.63
Element x y z (fractional)
Li  0.000  0.000  0.000
Li  0.206  0.704  0.255
Li  0.296  0.794  0.745
Li  0.704  0.206  0.255
Li  0.794  0.296  0.745
Ac  0.279  0.279  0.722
Ac  0.721  0.721  0.278
Ag  0.223  0.223  0.047
Ag  0.376  0.376  0.449
Ag  0.624  0.624  0.551
Ag  0.777  0.777  0.953

**Total moment**: 0.000 μB per atom
**DOS(E_F)**: 6.7 states/eV/f.u.
**SG**: C2/m (12)

2) Computed, not measured: Li5Ac2Ag4 after structural relaxation at the PBE level of DFT.

Unit cell a=10.034 b=9.208 c=5.729 alpha=80.77 beta=64.93 gamma=34.30
Element x y z (fractional)
Li  0.000  0.000  0.000
Li  0.000  0.000  0.500
Li  0.250  0.250  0.250
Li  0.500  0.500  0.000
Li  0.750  0.750  0.750
Ac  0.359  0.359  0.641
Ac  0.641  0.641  0.359
Ag  0.027  0.712  0.288
Ag  0.288  0.973  0.027
Ag  0.712  0.027  0.973
Ag  0.973  0.288  0.712

**Total moment**: 0.000 μB per atom
**DOS(E_F)**: 6.2 states/eV/f.u.
**SG**: Fmmm (69)

Most favorable structure: 2). The second most favorable one is 32 meV/atom above it.